<w>
VASP calculation (GGA-PBE) on an optimized crystal structure of RbTi2Cl.

```
4
Lattice="0.000 3.804 3.804 3.804 0.000 3.804 3.804 3.804 0.000" Properties=species:S:1:pos:R:3 pbc="T T T"
Rb 0.000 0.000 0.000
Ti 1.902 1.902 1.902
Ti 5.705 5.705 5.705
Cl 3.804 3.804 3.804
```

The value obtained for the total moment is 1.721 μB/atom. Its space group is Fm-3m (225). The calculation puts the density of states at the Fermi level at 8.552 states/eV/f.u.

=====

<x>
VASP calculation (GGA-PBE) on an optimized crystal structure of RbTi2Cl.

```
8
Lattice="-3.666 3.666 5.195 3.666 -3.666 5.195 3.666 3.666 -5.195" Properties=species:S:1:pos:R:3 pbc="T T T"
Rb 0.000 0.000 0.000
Rb 0.000 3.666 2.597
Ti 1.833 -0.030 3.896
Ti 3.636 1.833 1.299
Ti 1.833 3.695 -1.299
Ti 0.030 1.833 6.494
Cl 3.666 0.000 2.597
Cl 0.000 0.000 5.195
```

The value obtained for the total moment is 0.249 μB/atom. Its space group is I-42d (122). The calculation puts the density of states at the Fermi level at 4.482 states/eV/f.u.

=====

Result of the stability comparison: <x> is the most stable of them.

=====

<w>
VASP calculation (GGA-PBE) on an optimized crystal structure of Rb2TlCl2.

```
5
Lattice="-2.944 2.944 6.983 2.944 -2.944 6.983 2.944 2.944 -6.983" Properties=species:S:1:pos:R:3 pbc="T T T"
Rb 0.000 0.000 2.309
Rb 0.000 0.000 11.657
Tl 0.000 0.000 6.983
Cl 2.944 0.000 3.491
Cl 0.000 2.944 3.491
```

The value obtained for the total moment is 0.194 μB/atom. Its space group is I4/mmm (139). The calculation puts the density of states at the Fermi level at 2.081 states/eV/f.u.

=====

<x>
VASP calculation (GGA-PBE) on an optimized crystal structure of Rb2TlCl2.

```
10
Lattice="9.052 0.000 0.000 0.000 9.052 0.000 0.000 0.000 4.261" Properties=species:S:1:pos:R:3 pbc="T T T"
Rb 1.365 3.161 0.000
Rb 3.161 7.687 0.000
Rb 5.891 1.365 0.000
Rb 7.687 5.891 0.000
Tl 0.000 0.000 2.130
Tl 4.526 4.526 2.130
Cl 1.373 5.898 2.130
Cl 3.153 1.373 2.130
Cl 5.898 7.679 2.130
Cl 7.679 3.153 2.130
```

The value obtained for the total moment is 0.000 μB/atom. Its space group is P4/mbm (127). The calculation puts the density of states at the Fermi level at 2.227 states/eV/f.u.

=====

Result of the stability comparison: <x> is the most stable of them.

=====

<w>
VASP calculation (GGA-PBE) on an optimized crystal structure of RbTlCl.

```
6
Lattice="12.323 -2.090 0.000 12.323 2.090 0.000 0.000 0.000 4.495" Properties=species:S:1:pos:R:3 pbc="T T T"
Rb 0.000 0.000 0.000
Rb 3.937 0.000 2.247
Tl 9.094 0.000 2.260
Tl 20.235 0.000 0.013
Cl 13.449 0.000 2.247
Cl 17.233 0.000 4.495
```

The value obtained for the total moment is 0.000 μB/atom. Its space group is Cm (8). The calculation puts the density of states at the Fermi level at 1.069 states/eV/f.u.

=====

<x>
VASP calculation (GGA-PBE) on an optimized crystal structure of RbTlCl.

```
6
Lattice="4.578 0.000 0.000 0.000 4.587 0.000 -0.072 0.000 10.980" Properties=species:S:1:pos:R:3 pbc="T T T"
Rb 1.097 1.147 3.794
Rb 3.410 3.440 7.186
Tl 1.075 1.147 10.610
Tl 3.432 3.440 0.370
Cl 1.120 1.147 7.147
Cl 3.387 3.440 3.833
```

The value obtained for the total moment is 0.000 μB/atom. Its space group is P2_1/m (11). The calculation puts the density of states at the Fermi level at 1.049 states/eV/f.u.

=====

<y>
VASP calculation (GGA-PBE) on an optimized crystal structure of RbTlCl.

```
3
Lattice="4.407 0.000 0.000 0.000 4.420 0.000 0.000 0.000 6.558" Properties=species:S:1:pos:R:3 pbc="T T T"
Rb 0.000 0.000 0.000
Tl 2.203 2.210 3.609
Cl 2.203 2.210 0.565
```

The value obtained for the total moment is 0.000 μB/atom. Its space group is Pmm2 (25). The calculation puts the density of states at the Fermi level at 1.410 states/eV/f.u.

=====

Result of the stability comparison: <x> is the most stable of them.

=====

<w>
VASP calculation (GGA-PBE) on an optimized crystal structure of Rb2TlCl.

```
4
Lattice="3.968 0.000 0.000 0.000 3.968 0.000 0.000 0.000 9.797" Properties=species:S:1:pos:R:3 pbc="T T T"
Rb 0.000 0.000 1.981
Rb 0.000 0.000 7.816
Tl 1.984 1.984 4.899
Cl 1.984 1.984 0.000
```

The value obtained for the total moment is 0.000 μB/atom. Its space group is P4/mmm (123). The calculation puts the density of states at the Fermi level at 2.581 states/eV/f.u.

=====

<x>
VASP calculation (GGA-PBE) on an optimized crystal structure of Rb2TlCl.

```
4
Lattice="0.000 4.429 4.429 4.429 0.000 4.429 4.429 4.429 0.000" Properties=species:S:1:pos:R:3 pbc="T T T"
Rb 2.215 2.215 2.215
Rb 6.644 6.644 6.644
Tl 0.000 0.000 0.000
Cl 4.429 4.429 4.429
```

The value obtained for the total moment is 0.000 μB/atom. Its space group is Fm-3m (225). The calculation puts the density of states at the Fermi level at 1.950 states/eV/f.u.

=====

Result of the stability comparison: <w> is the most stable of them.

=====

<w>
VASP calculation (GGA-PBE) on an optimized crystal structure of Rb2TlCl.

```
8
Lattice="-4.781 4.781 4.236 4.781 -4.781 4.236 4.781 4.781 -4.236" Properties=species:S:1:pos:R:3 pbc="T T T"
Rb 7.171 1.778 -1.059
Rb 1.778 2.390 1.059
Rb -2.390 3.003 3.177
Rb 3.003 2.390 5.294
Tl 4.781 0.000 2.118
Tl 0.000 0.000 4.236
Cl 0.000 0.000 0.000
Cl 0.000 4.781 2.118
```

The value obtained for the total moment is 0.000 μB/atom. Its space group is I-42d (122). The calculation puts the density of states at the Fermi level at 0.525 states/eV/f.u.

=====

<x>
VASP calculation (GGA-PBE) on an optimized crystal structure of Rb2TlCl.

```
4
Lattice="2.162 1.248 11.519 -2.162 1.248 11.519 0.000 -2.496 11.519" Properties=species:S:1:pos:R:3 pbc="T T T"
Rb 0.000 0.000 3.654
Rb 0.000 0.000 30.903
Tl 0.000 0.000 0.000
Cl 0.000 0.000 17.279
```

The value obtained for the total moment is 0.000 μB/atom. Its space group is R-3m (166). The calculation puts the density of states at the Fermi level at 1.688 states/eV/f.u.

=====

Result of the stability comparison: <x> is the most stable of them.

=====

<w>
VASP calculation (GGA-PBE) on an optimized crystal structure of RbTl6Cl8.

```
15
Lattice="11.321 0.000 0.000 -5.660 9.804 0.000 0.000 0.000 4.644" Properties=species:S:1:pos:R:3 pbc="T T T"
Rb 0.000 0.000 0.000
Tl -2.329 6.588 1.178
Tl 1.120 4.493 1.178
Tl 4.451 1.277 3.465
Tl 1.209 8.527 1.178
Tl 4.541 5.311 3.465
Tl 7.989 3.216 3.465
Cl -1.373 2.961 1.144
Cl -2.410 9.513 1.144
Cl 1.877 2.670 3.499
Cl 0.000 6.536 3.501
Cl 5.660 3.268 1.143
Cl 3.783 7.134 1.144
Cl 8.070 0.291 3.499
Cl 7.034 6.843 3.499
```

The value obtained for the total moment is 0.000 μB/atom. Its space group is P-3 (147). The calculation puts the density of states at the Fermi level at 10.277 states/eV/f.u.

=====

<x>
VASP calculation (GGA-PBE) on an optimized crystal structure of RbTl6Cl8.

```
15
Lattice="6.543 3.778 3.619 -6.543 3.778 3.619 0.000 -7.556 3.619" Properties=species:S:1:pos:R:3 pbc="T T T"
Rb 0.000 0.000 0.000
Tl -2.980 0.208 3.477
Tl 1.310 -2.685 3.477
Tl -1.670 -2.477 7.380
Tl 1.670 2.477 3.477
Tl -1.310 2.685 7.380
Tl 2.980 -0.208 7.380
Cl -4.143 -1.539 5.750
Cl -0.739 -4.358 5.107
Cl 0.000 0.000 3.502
Cl -3.405 2.819 5.107
Cl 3.405 -2.819 5.750
Cl 0.000 0.000 7.355
Cl 0.739 4.358 5.750
Cl 4.143 1.539 5.107
```

The value obtained for the total moment is 0.000 μB/atom. Its space group is R-3 (148). The calculation puts the density of states at the Fermi level at 12.727 states/eV/f.u.

=====

Result of the stability comparison: <w> is the most stable of them.

=====

<w>
VASP calculation (GGA-PBE) on an optimized crystal structure of RbTl3Cl.

```
5
Lattice="6.024 0.000 0.000 0.000 6.024 0.000 0.000 0.000 6.024" Properties=species:S:1:pos:R:3 pbc="T T T"
Rb 0.000 0.000 0.000
Tl 0.000 3.012 3.012
Tl 3.012 0.000 3.012
Tl 3.012 3.012 0.000
Cl 3.012 3.012 3.012
```

The value obtained for the total moment is 0.000 μB/atom. Its space group is Pm-3m (221). The calculation puts the density of states at the Fermi level at 2.864 states/eV/f.u.

=====

<x>
VASP calculation (GGA-PBE) on an optimized crystal structure of RbTl3Cl.

```
5
Lattice="6.678 0.000 0.000 0.000 6.678 0.000 0.000 0.000 6.678" Properties=species:S:1:pos:R:3 pbc="T T T"
Rb 0.000 0.000 0.000
Tl 0.000 0.000 3.339
Tl 0.000 3.339 0.000
Tl 3.339 0.000 0.000
Cl 3.339 3.339 3.339
```

The value obtained for the total moment is 0.000 μB/atom. Its space group is Pm-3m (221). The calculation puts the density of states at the Fermi level at 3.487 states/eV/f.u.

=====

Result of the stability comparison: <w> is the most stable of them.

=====

<w>
VASP calculation (GGA-PBE) on an optimized crystal structure of Rb2TlVCl6.

```
10
Lattice="0.000 5.430 5.430 5.430 0.000 5.430 5.430 5.430 0.000" Properties=species:S:1:pos:R:3 pbc="T T T"
Rb 2.715 2.715 2.715
Rb 8.145 8.145 8.145
Tl 0.000 0.000 0.000
V 5.430 5.430 5.430
Cl 5.430 5.430 3.036
Cl 5.430 3.036 5.430
Cl 7.823 5.430 5.430
Cl 3.036 5.430 5.430
Cl 5.430 7.823 5.430
Cl 5.430 5.430 7.823
```

The value obtained for the total moment is 0.200 μB/atom. Its space group is Fm-3m (225). The calculation puts the density of states at the Fermi level at 22.692 states/eV/f.u.

=====

<x>
VASP calculation (GGA-PBE) on an optimized crystal structure of Rb2TlVCl6.

```
20
Lattice="7.289 0.000 0.000 0.000 10.825 0.000 0.000 0.000 8.309" Properties=species:S:1:pos:R:3 pbc="T T T"
Rb 1.822 0.332 1.596
Rb 1.822 5.080 1.596
Rb 5.467 5.745 6.713
Rb 5.467 10.493 6.713
Tl 1.822 2.706 5.799
Tl 5.467 8.119 2.510
V 1.822 8.119 6.605
V 5.467 2.706 1.704
Cl 0.100 8.119 4.954
Cl 0.154 8.119 0.044
Cl 1.822 5.714 6.607
Cl 1.822 10.523 6.607
Cl 3.490 8.119 0.044
Cl 3.544 8.119 4.954
Cl 3.745 2.706 3.355
Cl 3.799 2.706 8.265
Cl 5.467 0.302 1.702
Cl 5.467 5.111 1.702
Cl 7.135 2.706 8.265
Cl 7.189 2.706 3.355
```

The value obtained for the total moment is 0.200 μB/atom. Its space group is Pmmn (59). The calculation puts the density of states at the Fermi level at 11.057 states/eV/f.u.

=====

Result of the stability comparison: <x> is the most stable of them.

=====

<w>
VASP calculation (GGA-PBE) on an optimized crystal structure of RbUCl6.

```
8
Lattice="3.612 2.085 6.633 -3.612 2.085 6.633 0.000 -4.170 6.633" Properties=species:S:1:pos:R:3 pbc="T T T"
Rb 0.000 0.000 0.000
U 0.000 0.000 9.949
Cl -1.782 -1.029 8.470
Cl 0.000 -2.058 11.428
Cl -1.782 1.029 11.428
Cl 1.782 -1.029 8.470
Cl 0.000 2.058 8.470
Cl 1.782 1.029 11.428
```

The value obtained for the total moment is 0.125 μB/atom. Its space group is R-3m (166).

=====

<x>
VASP calculation (GGA-PBE) on an optimized crystal structure of RbUCl6.

```
8
Lattice="4.116 -5.398 0.000 4.116 5.398 0.000 -1.615 0.000 6.417" Properties=species:S:1:pos:R:3 pbc="T T T"
Rb 0.000 0.000 0.000
U 3.309 0.000 3.208
Cl 2.749 1.774 1.484
Cl 0.875 0.000 3.924
Cl 3.869 1.774 4.933
Cl 2.749 -1.774 1.484
Cl 5.743 0.000 2.493
Cl 3.869 -1.774 4.933
```

The value obtained for the total moment is 0.125 μB/atom. Its space group is C2/m (12).

=====

Result of the stability comparison: <x> is the most stable of them.

=====

<w>
VASP calculation (GGA-PBE) on an optimized crystal structure of RbVCl2.

```
4
Lattice="2.538 1.466 7.827 -2.538 1.466 7.827 0.000 -2.931 7.827" Properties=species:S:1:pos:R:3 pbc="T T T"
Rb 0.000 0.000 0.000
V 0.000 0.000 11.741
Cl 0.000 0.000 9.407
Cl 0.000 0.000 14.075
```

The value obtained for the total moment is 0.994 μB/atom. Its space group is R-3m (166). The calculation puts the density of states at the Fermi level at 7.786 states/eV/f.u.

=====

<x>
VASP calculation (GGA-PBE) on an optimized crystal structure of RbVCl2.

```
8
Lattice="-3.129 3.129 6.859 3.129 -3.129 6.859 3.129 3.129 -6.859" Properties=species:S:1:pos:R:3 pbc="T T T"
Rb 0.000 0.000 0.000
Rb 0.000 3.129 3.430
V 3.129 0.000 3.430
V 0.000 0.000 6.859
Cl 1.565 -0.871 5.145
Cl 2.258 1.565 1.715
Cl 1.565 4.000 -1.715
Cl 0.871 1.565 8.574
```

The value obtained for the total moment is 0.986 μB/atom. Its space group is I-42d (122). The calculation puts the density of states at the Fermi level at 2.802 states/eV/f.u.

=====

Result of the stability comparison: <x> is the most stable of them.

=====

<w>
VASP calculation (GGA-PBE) on an optimized crystal structure of Rb2VCl.

```
8
Lattice="-4.640 4.640 4.820 4.640 -4.640 4.820 4.640 4.640 -4.820" Properties=species:S:1:pos:R:3 pbc="T T T"
Rb 6.960 1.762 -1.205
Rb 1.762 2.320 1.205
Rb -2.320 2.878 3.615
Rb 2.878 2.320 6.025
V 4.640 0.000 2.410
V 0.000 0.000 4.820
Cl 0.000 0.000 0.000
Cl 0.000 4.640 2.410
```

The value obtained for the total moment is 1.016 μB/atom. Its space group is I-42d (122). The calculation puts the density of states at the Fermi level at 7.078 states/eV/f.u.

=====

<x>
VASP calculation (GGA-PBE) on an optimized crystal structure of Rb2VCl.

```
4
Lattice="0.000 4.385 4.385 4.385 0.000 4.385 4.385 4.385 0.000" Properties=species:S:1:pos:R:3 pbc="T T T"
Rb 2.193 2.193 2.193
Rb 6.578 6.578 6.578
V 0.000 0.000 0.000
Cl 4.385 4.385 4.385
```

The value obtained for the total moment is 0.997 μB/atom. Its space group is Fm-3m (225). The calculation puts the density of states at the Fermi level at 6.073 states/eV/f.u.

=====

Result of the stability comparison: <w> is the most stable of them.